VASP calculation (PBE) on a geometry-optimized BaNiAs3 structure.

Its relative energy among the computed polymorphs is 1966.5 meV/atom. Its crystal system is cubic.

abc: 5.775 5.775 5.775
angles: 90.00 90.00 90.00
Fractional coordinates of all 5 atoms:
Ni  0.500  0.500  0.500
As  0.000  0.500  0.000
As  0.000  0.000  0.500
As  0.500  0.000  0.000
Ba  0.000  0.000  0.000

VASP calculation (PBE) on a geometry-optimized BaNiAs2 structure.

Its crystal system is monoclinic.

abc: 5.979 5.979 4.834
angles: 71.92 71.92 38.64
Fractional coordinates of all 4 atoms:
As  0.128  0.128  0.779
As  0.231  0.231  0.208
Ba  0.453  0.453  0.543
Ni  0.688  0.688  0.970

Number 1: ΔE_f 39.6 kcal/mol of atoms, raw total energy -2.611 eV per atom. Number 2: ΔE_f -13.1 kcal/mol of atoms, raw total energy -4.820 eV per atom.